[1]
Entry from Alexandria via LeMat-Bulk: a relaxed structure of NaBeTcF2 (PBE).

Geometry as CIF:
```
data_NaBeTcF2
_chemical_formula_sum 'Na1 Be1 Tc1 F2'
_symmetry_space_group_name_H-M 'P 1'
_symmetry_Int_Tables_number 1
_cell_length_a 3.552
_cell_length_b 6.993
_cell_length_c 3.552
_cell_angle_alpha 90.00
_cell_angle_beta 90.00
_cell_angle_gamma 90.00
loop_
_symmetry_equiv_pos_as_xyz
'x,y,z'
loop_
_atom_site_label
_atom_site_type_symbol
_atom_site_fract_x
_atom_site_fract_y
_atom_site_fract_z
F1 F 0.500 0.000 0.000
Na1 Na 0.000 0.500 0.000
Tc1 Tc 0.500 0.500 0.500
F2 F 0.000 0.000 0.500
Be1 Be 0.000 0.000 0.000
```

## Properties
Calculated total energy ... -4.14 eV/atom
Density of states at the Fermi level ... 2.88 states/eV/cell


[2]
Entry from Alexandria via LeMat-Bulk: a relaxed structure of NdTlAgPb (PBE).

Geometry as CIF:
```
data_NdTlAgPb
_chemical_formula_sum 'Nd1 Tl1 Ag1 Pb1'
_symmetry_space_group_name_H-M 'P 1'
_symmetry_Int_Tables_number 1
_cell_length_a 5.349
_cell_length_b 5.349
_cell_length_c 5.349
_cell_angle_alpha 60.00
_cell_angle_beta 60.00
_cell_angle_gamma 60.00
loop_
_symmetry_equiv_pos_as_xyz
'x,y,z'
loop_
_atom_site_label
_atom_site_type_symbol
_atom_site_fract_x
_atom_site_fract_y
_atom_site_fract_z
Pb1 Pb 0.500 0.500 0.500
Nd1 Nd 0.000 0.000 0.000
Ag1 Ag 0.250 0.250 0.250
Tl1 Tl 0.750 0.750 0.750
```

## Properties
ΔH_f (0 K) ... -66 kJ/mol of formula units
Density of states at the Fermi level ... 2.27 states/eV/cell


[3]
Entry from Alexandria via LeMat-Bulk: a relaxed structure of TaHRh2W (PBE).

Geometry as CIF:
```
data_TaHRh2W
_chemical_formula_sum 'Ta1 H1 Rh2 W1'
_symmetry_space_group_name_H-M 'P 1'
_symmetry_Int_Tables_number 1
_cell_length_a 3.931
_cell_length_b 3.931
_cell_length_c 4.123
_cell_angle_alpha 90.00
_cell_angle_beta 90.00
_cell_angle_gamma 90.00
loop_
_symmetry_equiv_pos_as_xyz
'x,y,z'
loop_
_atom_site_label
_atom_site_type_symbol
_atom_site_fract_x
_atom_site_fract_y
_atom_site_fract_z
H1 H 0.000 0.000 0.000
W1 W 0.500 0.500 0.500
Rh1 Rh 0.000 0.500 0.000
Rh2 Rh 0.500 0.000 0.000
Ta1 Ta 0.000 0.000 0.500
```

## Properties
Calculated total energy ... -8.80 eV/atom
Density of states at the Fermi level ... 2.22 states/eV/cell


| no. | calculated volume (Å³/cell) |
| --- | --- |
| 1 | 88.2 |
| 2 | 108.2 |
| 3 | 63.7 |